Material: Cr2InPO
Method: DFT, GGA+U
State: optimized geometry

Computed properties:
As for the total moment: 9.2 μB/f.u. The volume comes out at 115.9 Å³/cell. The total energy is -4.87 eV/atom.

Cell lengths 5.439, 5.439, 3.917 Å; angles 90.00, 90.00, 90.00 degrees
Space group P4/mmm (No. 123)
Unique sites:
1 Cr 0.000 0.500 0.000
2 In 0.000 0.000 0.000
3 P 0.500 0.500 0.500
4 O 0.000 0.000 0.500